Record 1
Entry from the Alexandria database: crystalline Th2PaMn2 at its relaxed geometry (GGA-PBE).

Unit cell a=6.4224 b=6.4224 c=6.4224 alpha=142.27 beta=132.79 gamma=61.96
With the nearest neighbours (Å) after each atom.
Fractional coordinates of all 5 atoms:
Th 0.1718 0.1718 0.0000  2 Mn 2.63
Th 0.8282 0.8282 0.0000  2 Mn 2.63
Pa 0.5000 0.5000 0.0000  4 Mn 2.48
Mn 0.3768 0.8768 0.5000  2 Pa 2.48, 2 Th 2.63, 1 Mn 2.71
Mn 0.6232 0.1232 0.5000  2 Pa 2.48, 2 Th 2.63, 1 Mn 2.71

Calculated values
- Crystal system: orthorhombic
- Energy: -42.6 eV for the cell shown
- Density of states at the Fermi level: 5.33 states/eV per cell
- V: 117.63 Å³/cell
- SG: Immm, No. 71
- Magnetic moment: 0.00 μB per cell


Record 2
Entry from the Alexandria database: crystalline Th2PaMn at its relaxed geometry (GGA-PBE).

Unit cell a=3.5539 b=3.5539 c=8.0141 alpha=90.00 beta=90.00 gamma=90.00
With the nearest neighbours (Å) after each atom.
Fractional coordinates of all 4 atoms:
Th 0.0000 0.0000 0.2193  4 Mn 3.07, 4 Pa 3.37
Th 0.0000 0.0000 0.7807  4 Mn 3.07, 4 Pa 3.37
Pa 0.5000 0.5000 0.5000  8 Th 3.37, 4 Pa 3.55
Mn 0.5000 0.5000 0.0000  8 Th 3.07

Calculated values
- Crystal system: tetragonal
- Energy: -32.8 eV for the cell shown
- Density of states at the Fermi level: 5.23 states/eV per cell
- V: 101.22 Å³/cell
- SG: P4/mmm, No. 123
- Magnetic moment: 2.06 μB per cell